A) The following is a DFT calculation (PBE) of an optimized crystal structure of AcLaAs2.

Structure (POSCAR):
```
AcLaAs2
1.0
4.386 0.000 0.000
2.193 3.799 0.000
2.193 1.266 7.640
As La Ac
2 1 1
direct
0.085 0.085 0.745
0.248 0.248 0.257
0.498 0.498 0.505
0.669 0.669 0.994
```

Results
crystal system = trigonal

B) The following is a DFT calculation (PBE) of an optimized crystal structure of AcLaAs2.

Structure (POSCAR):
```
AcLaAs2
1.0
-3.911 1.605 1.283
0.249 -4.015 -1.824
1.955 -5.995 13.462
Ac La As
2 2 4
direct
0.000 0.000 0.000
0.000 0.000 0.500
0.667 0.333 0.250
0.333 0.667 0.750
0.333 0.667 0.372
0.333 0.667 0.128
0.667 0.333 0.872
0.667 0.333 0.628
```

Results
crystal system = hexagonal

C) The following is a DFT calculation (PBE) of an optimized crystal structure of AcLaAs2.

Structure (POSCAR):
```
AcLaAs2
1.0
-2.739 0.181 3.522
-1.317 -3.769 2.000
4.406 -0.842 6.298
La As Ac
1 2 1
direct
0.000 0.000 0.000
0.747 0.747 0.760
0.253 0.253 0.240
0.500 0.500 0.500
```

Results
crystal system = trigonal

D) The following is a DFT calculation (PBE) of an optimized crystal structure of AcLaAs2.

Structure (POSCAR):
```
AcLaAs2
1.0
-5.281 -1.056 -0.148
-2.630 -1.230 4.538
-3.508 3.500 2.114
Ac As La
1 2 1
direct
0.000 0.000 0.000
0.750 0.750 0.750
0.250 0.250 0.250
0.500 0.500 0.500
```

Results
crystal system = cubic

Most stable = C)

A) The following is a DFT calculation (PBE) of an optimized crystal structure of AcLa2As.

Structure (POSCAR):
```
AcLa2As
1.0
-2.490 1.246 2.947
-3.289 -2.179 0.931
3.926 -6.005 8.644
As La Ac
1 2 1
direct
0.500 0.500 0.500
0.113 0.113 0.662
0.887 0.887 0.338
0.000 0.000 0.000
```

Results
crystal system = trigonal

B) The following is a DFT calculation (PBE) of an optimized crystal structure of AcLa2As.

Structure (POSCAR):
```
AcLa2As
1.0
-3.760 0.083 1.745
-3.254 -1.601 -2.010
-0.594 -9.292 4.086
As La Ac
1 2 1
direct
0.667 0.667 0.000
0.061 0.061 0.818
0.273 0.273 0.182
0.500 0.500 0.499
```

Results
crystal system = trigonal

C) The following is a DFT calculation (PBE) of an optimized crystal structure of AcLa2As.

Structure (POSCAR):
```
AcLa2As
1.0
-0.650 -2.997 2.416
3.257 -1.734 -1.274
4.521 3.976 6.147
La Ac As
2 1 1
direct
0.000 0.000 0.188
0.000 0.000 0.812
0.500 0.500 0.500
0.500 0.500 0.000
```

Results
crystal system = tetragonal

Most stable = B)

A) The following is a DFT calculation (PBE) of an optimized crystal structure of Li2AcAs2.

Structure (POSCAR):
```
Li2AcAs2
1.0
4.529 0.000 0.000
-2.264 3.922 0.000
0.000 0.000 14.098
As Li Ac
4 4 2
direct
0.333 0.667 0.625
0.333 0.667 0.875
0.667 0.333 0.125
0.667 0.333 0.375
0.667 0.333 0.935
0.333 0.667 0.065
0.333 0.667 0.435
0.667 0.333 0.565
0.000 0.000 0.250
0.000 0.000 0.750
```

Results
crystal system = hexagonal

B) The following is a DFT calculation (PBE) of an optimized crystal structure of Li2AcAs2.

Structure (POSCAR):
```
Li2AcAs2
1.0
-2.517 3.626 0.886
0.853 -0.482 4.395
8.314 6.005 -0.955
Li As Ac
4 4 2
direct
0.500 0.000 0.885
0.000 0.000 0.500
0.000 0.500 0.115
0.500 0.500 0.500
0.000 0.500 0.357
0.000 0.000 0.000
0.500 0.000 0.643
0.500 0.500 0.000
0.000 0.500 0.762
0.500 0.000 0.238
```

Results
crystal system = tetragonal

Most stable = B)

A) The following is a DFT calculation (PBE) of an optimized crystal structure of AcMgAs2.

Structure (POSCAR):
```
AcMgAs2
1.0
3.798 0.000 0.000
0.000 3.798 0.000
0.000 0.000 6.722
Mg Ac As
1 1 2
direct
0.500 0.500 0.000
0.500 0.500 0.500
0.000 0.000 0.207
0.000 0.000 0.793
```

Results
crystal system = tetragonal

B) The following is a DFT calculation (PBE) of an optimized crystal structure of AcMgAs2.

Structure (POSCAR):
```
AcMgAs2
1.0
-2.089 1.615 -3.630
-4.466 0.454 -0.003
-1.612 6.340 0.972
Mg As Ac
1 2 1
direct
0.000 0.000 0.000
0.265 0.265 0.205
0.735 0.735 0.795
0.500 0.500 0.500
```

Results
crystal system = trigonal

C) The following is a DFT calculation (PBE) of an optimized crystal structure of AcMgAs2.

Structure (POSCAR):
```
AcMgAs2
1.0
-3.632 -0.045 -1.774
-1.114 -4.243 2.388
-1.889 2.635 3.800
Mg Ac As
1 1 2
direct
0.500 0.500 0.500
0.500 0.000 0.000
0.000 0.000 0.500
0.000 0.500 0.000
```

Results
crystal system = tetragonal

Most stable = B)